No. 1
In2SbRh | PBE-GGA | optimized geometry

Results
Its symmetry is P4mm. The total energy comes out at -4.403 eV/atom. For the spin magnetization, the calculation gives 0.00 μB per cell.

Lattice parameters (Å, degrees): 3.2630 3.2630 8.4508 90.00 90.00 90.00
Last column: nearest neighbours and their distance in Å.
Positions (direct):
In 0.0000 0.0000 0.0141  8 In 3.26-3.31, 4 Sb 3.61
In 0.5000 0.5000 0.2954  4 Rh 2.91
Sb 0.5000 0.5000 0.6855  4 Rh 2.77
Rh 0.0000 0.0000 0.5050  4 Sb 2.77, 4 In 2.91

=====

No. 2
B2RuSe6 | PBE-GGA | optimized geometry

Results
Its symmetry is C2/c. The total energy comes out at -4.885 eV/atom. For the spin magnetization, the calculation gives 0.00 μB per cell.

Lattice parameters (Å, degrees): 6.2029 7.7262 7.7262 81.44 80.47 80.47
Last column: nearest neighbours and their distance in Å.
Positions (direct):
B 0.1658 0.6410 0.7901  4 Se 2.06-2.11
B 0.3342 0.2099 0.3590  4 Se 2.06-2.11
B 0.8342 0.3590 0.2099  4 Se 2.06-2.11
B 0.6658 0.7901 0.6410  4 Se 2.06-2.11
Ru 0.2500 0.1203 0.8797  6 Se 2.38-2.60
Ru 0.7500 0.8797 0.1203  6 Se 2.38-2.60
Se 0.3832 0.7228 0.5721  2 B 2.07-2.08
Se 0.1168 0.4279 0.2772  2 B 2.07-2.08
Se 0.6168 0.2772 0.4279  2 B 2.07-2.08
Se 0.8832 0.5721 0.7228  2 B 2.07-2.08
Se 0.8376 0.9035 0.4037  1 B 2.11
Se 0.6624 0.5963 0.0965  1 B 2.11
Se 0.1624 0.0965 0.5963  1 B 2.11
Se 0.3376 0.4037 0.9035  1 B 2.11
Se 0.1375 0.8068 0.9813  1 B 2.06
Se 0.3625 0.0187 0.1932  1 B 2.06
Se 0.8625 0.1932 0.0187  1 B 2.06
Se 0.6375 0.9813 0.8068  1 B 2.06